The following is a DFT calculation (PBE) of an optimized crystal structure of RbLi2In2.

```
data_RbLi2In2
_chemical_formula_sum 'Rb2 Li4 In4'
_cell_length_a 9.208
_cell_length_b 9.208
_cell_length_c 3.214
_cell_angle_alpha 90.00
_cell_angle_beta 90.00
_cell_angle_gamma 90.00
_symmetry_space_group_name_H-M 'P 4/m b m'
_symmetry_Int_Tables_number 127
_symmetry_space_group_name_Hall '-P 4 2ab'
loop_
_atom_site_label
_atom_site_fract_x
_atom_site_fract_y
_atom_site_fract_z
_atom_site_occupancy
Rb1 0.000 0.000 0.000 1
Li1 0.170 0.330 0.500 1
In1 0.117 0.617 0.000 1
```

Results
excess energy over the best structure of this formula in the dataset = 0.012 eV per atom
formation energy from the elements = -0.5 eV per formula unit
crystal system = tetragonal